# 1
Compound: Cu2WBr
Source: the Alexandria database
Functional: PBE-GGA
Structure: optimized geometry

Results
- polymorph energy (0 for the lowest one) (kcal/mol of atoms) = 9.03
- symmetry = No. 71
- formation energy without anion corrections (meV per atom) = 919
- electronic total energy (eV/atom) = -4.786

a b c (Å): 5.448 5.448 5.448
angles (deg): 149.13 130.48 59.50
Atoms (fractional coordinates):
Br (0.750, 0.250, 0.500)
Cu (0.493, 0.493, 0.000)
Cu (0.007, 0.007, 0.000)
W (0.250, 0.750, 0.500)


# 2
Compound: LaInW2
Source: the Alexandria database
Functional: PBE-GGA
Structure: optimized geometry

Results
- symmetry = No. 123
- calculated formation energy (eV/f.u.) = 3.281
- electronic total energy (eV/atom) = -7.573

a b c (Å): 2.875 2.875 9.942
angles (deg): 90.00 90.00 90.00
Atoms (fractional coordinates):
La (0.500, 0.500, 0.750)
W (0.000, 0.000, 0.476)
W (0.000, 0.000, 0.024)
In (0.500, 0.500, 0.250)


# 3
Compound: KTlB2I8
Source: the Alexandria database
Functional: PBE-GGA
Structure: optimized geometry

Results
- symmetry = No. 148
- formation energy without anion corrections (meV per atom) = -366
- electronic total energy (eV/atom) = -2.801

a b c (Å): 7.349 7.349 11.438
angles (deg): 71.26 71.26 60.00
Atoms (fractional coordinates):
K (0.000, 0.000, 0.000)
I (0.517, 0.329, 0.209)
I (0.483, 0.671, 0.791)
I (0.170, 0.170, 0.490)
I (0.329, 0.946, 0.209)
I (0.946, 0.517, 0.209)
I (0.671, 0.054, 0.791)
I (0.830, 0.830, 0.510)
I (0.054, 0.483, 0.791)
Tl (0.500, 0.500, 0.500)
B (0.240, 0.240, 0.279)
B (0.760, 0.760, 0.721)


# 4
Compound: Mg2BeAs2Rh
Source: the Alexandria database
Functional: PBE-GGA
Structure: optimized geometry

Results
- symmetry = No. 72
- calculated formation energy (eV/f.u.) = -2.709
- electronic total energy (eV/atom) = -4.379

a b c (Å): 5.452 5.814 7.367
angles (deg): 113.24 111.72 90.00
Atoms (fractional coordinates):
Mg (0.623, 0.839, 0.677)
Mg (0.055, 0.339, 0.677)
Mg (0.377, 0.161, 0.323)
Mg (0.945, 0.661, 0.323)
Rh (0.000, 0.750, 0.000)
Rh (0.000, 0.250, 0.000)
As (0.587, 0.379, 0.758)
As (0.413, 0.621, 0.242)
As (0.171, 0.879, 0.758)
As (0.829, 0.121, 0.242)
Be (0.500, 0.250, 0.000)
Be (0.500, 0.750, 0.000)